[1]
The following is a DFT calculation (PBE) of crystalline RbNaMoS3 at its relaxed geometry.

abc: 7.7005 7.7005 10.1914
angles: 90.00 90.00 151.17
Closest atoms and distances in Å follow each position.
Fractional coordinates of all 12 atoms:
Rb 0.7271 0.2729 0.2500  4 S 3.22-3.29
S 0.3919 0.6081 0.0134  1 Na 2.50, 2 Mo 2.51
S 0.6081 0.3919 0.9866  1 Na 2.50, 2 Mo 2.51
Mo 0.0000 0.0000 0.0000  6 S 2.51-2.65
S 0.3919 0.6081 0.4866  1 Na 2.50, 2 Mo 2.51
Rb 0.2729 0.7271 0.7500  4 S 3.22-3.29
S 0.0482 0.9518 0.2500  2 Na 2.55, 2 Mo 2.65
S 0.6081 0.3919 0.5134  1 Na 2.50, 2 Mo 2.51
Na 0.5643 0.4357 0.7500  4 S 2.50-2.55
Na 0.4357 0.5643 0.2500  4 S 2.50-2.55
S 0.9518 0.0482 0.7500  2 Na 2.55, 2 Mo 2.65
Mo 0.0000 0.0000 0.5000  6 S 2.51-2.65

VASP energy   -0.3557 Ry/atom

[2]
The following is a DFT calculation (PBE) of crystalline Nd2ErTaO6 at its relaxed geometry.

abc: 5.6191 5.6191 5.6590
angles: 116.28 116.28 66.27
Closest atoms and distances in Å follow each position.
Fractional coordinates of all 10 atoms:
O 0.7278 0.7278 0.8549  1 Ta 2.02, 1 Er 2.24
O 0.3031 0.8259 0.3324  1 Ta 2.11, 1 Er 2.20
Er 0.0000 0.0000 0.0000  6 O 2.20-2.24
Nd 0.7496 0.7496 0.2933  5 O 2.38-2.46
O 0.1741 0.6969 0.6676  1 Ta 2.11, 1 Er 2.20
Ta 0.5000 0.5000 0.5000  6 O 2.02-2.11
O 0.8259 0.3031 0.3324  1 Ta 2.11, 1 Er 2.20
O 0.2722 0.2722 0.1451  1 Ta 2.02, 1 Er 2.24
Nd 0.2504 0.2504 0.7067  5 O 2.38-2.46
O 0.6969 0.1741 0.6676  1 Ta 2.11, 1 Er 2.20

VASP energy   -0.6291 Ry/atom

[3]
The following is a DFT calculation (PBE) of crystalline Tb2DyGa3NiGe2 at its relaxed geometry.

abc: 4.1623 6.9995 6.9995
angles: 119.97 90.00 90.00
Closest atoms and distances in Å follow each position.
Fractional coordinates of all 9 atoms:
Ga 0.5000 0.0003 0.2290  2 Ni 2.63, 2 Ge 2.77-2.78, 2 Ga 2.77-2.78
Ge 0.5000 0.3335 0.6662  3 Ga 2.77-2.78, 2 Dy 2.98, 4 Tb 2.99
Tb 0.0000 0.6005 0.0000  1 Ni 2.80, 4 Ge 2.99
Ga 0.5000 0.2290 0.0003  2 Ni 2.63, 2 Ge 2.77-2.78, 2 Ga 2.77-2.78
Ge 0.5000 0.6662 0.3335  3 Ga 2.77-2.78, 2 Dy 2.98, 4 Tb 2.99
Tb 0.0000 0.0000 0.6005  1 Ni 2.80, 4 Ge 2.99
Dy 0.0000 0.3992 0.3992  1 Ni 2.79, 4 Ge 2.98
Ni 0.0000 0.0004 0.0004  6 Ga 2.63, 1 Dy 2.79, 2 Tb 2.80
Ga 0.5000 0.7710 0.7710  2 Ni 2.63, 2 Ge 2.77, 2 Ga 2.78

VASP energy   -0.3616 Ry/atom

[4]
The following is a DFT calculation (PBE) of crystalline Sc3Si4Ni4 at its relaxed geometry.

abc: 7.3526 7.3526 7.3526
angles: 149.71 127.86 61.49
Closest atoms and distances in Å follow each position.
Fractional coordinates of all 11 atoms:
Si 0.1897 0.5000 0.6897  2 Ni 2.35, 1 Si 2.45
Sc 0.1255 0.1255 0.0000  6 Si 2.74-2.78, 6 Ni 2.81-2.82
Si 0.2804 0.7804 0.5000  6 Ni 2.36-2.37
Si 0.7196 0.2196 0.5000  6 Ni 2.36-2.37
Si 0.8103 0.5000 0.3103  2 Ni 2.35, 1 Si 2.45
Ni 0.4799 0.6766 0.8033  4 Si 2.35-2.37, 1 Ni 2.54
Sc 0.8745 0.8745 0.0000  6 Si 2.74-2.78, 6 Ni 2.81-2.82
Ni 0.5201 0.3234 0.1967  4 Si 2.35-2.37, 1 Ni 2.54
Ni 0.1267 0.3234 0.8033  4 Si 2.35-2.37, 1 Ni 2.54
Ni 0.8733 0.6766 0.1967  4 Si 2.35-2.37, 1 Ni 2.54
Sc 0.5000 0.0000 0.5000  6 Si 2.78

VASP energy   -0.4832 Ry/atom

[5]
The following is a DFT calculation (PBE) of crystalline TlMo3CN at its relaxed geometry.

abc: 3.1842 3.1842 18.6922
angles: 90.00 90.00 120.00
Closest atoms and distances in Å follow each position.
Fractional coordinates of all 12 atoms:
N 0.6667 0.3333 0.5645  6 Mo 2.09-2.20
Tl 0.0000 0.0000 0.2531  6 Mo 3.04, 6 Tl 3.18
Mo 0.6667 0.3333 0.3825  3 N 2.09
Mo 0.6667 0.3333 0.1233  3 C 2.10
C 0.3333 0.6667 0.0691  6 Mo 2.10-2.25
N 0.3333 0.6667 0.4355  6 Mo 2.09-2.20
Mo 0.3333 0.6667 0.6175  3 N 2.09
C 0.6667 0.3333 0.9309  6 Mo 2.10-2.25
Tl 0.0000 0.0000 0.7469  6 Mo 3.04, 6 Tl 3.18
Mo 0.0000 0.0000 0.0000  6 C 2.25
Mo 0.0000 0.0000 0.5000  6 N 2.20
Mo 0.3333 0.6667 0.8767  3 C 2.10

VASP energy   -0.6313 Ry/atom

[6]
The following is a DFT calculation (PBE) of crystalline Re2AgIr at its relaxed geometry.

abc: 4.4323 4.4323 4.4323
angles: 60.00 60.00 60.00
Closest atoms and distances in Å follow each position.
Fractional coordinates of all 4 atoms:
Re 0.7500 0.7500 0.7500  4 Ag 2.71, 4 Re 2.71
Ag 0.5000 0.5000 0.5000  4 Re 2.71, 4 Ir 2.71
Re 0.0000 0.0000 0.0000  4 Re 2.71, 4 Ir 2.71
Ir 0.2500 0.2500 0.2500  4 Ag 2.71, 4 Re 2.71

Energy relative to the elements   2.40 eV/f.u.
VASP energy   -0.6270 Ry/atom

[7]
The following is a DFT calculation (PBE) of crystalline LiReAg3S4 at its relaxed geometry.

abc: 5.9803 5.9803 5.9803
angles: 90.00 90.00 90.00
Closest atoms and distances in Å follow each position.
Fractional coordinates of all 9 atoms:
S 0.7296 0.7296 0.2704  1 Re 2.38, 3 Ag 2.53
Ag 0.5000 0.5000 0.0000  4 S 2.53
Re 0.5000 0.5000 0.5000  4 S 2.38
S 0.2704 0.7296 0.7296  1 Re 2.38, 3 Ag 2.53
Ag 0.5000 0.0000 0.5000  4 S 2.53
Ag 0.0000 0.5000 0.5000  4 S 2.53
S 0.7296 0.2704 0.7296  1 Re 2.38, 3 Ag 2.53
S 0.2704 0.2704 0.2704  1 Re 2.38, 3 Ag 2.53
Li 0.0000 0.0000 0.0000  4 S 2.80

VASP energy   -0.3248 Ry/atom

[8]
The following is a DFT calculation (PBE) of crystalline BeB4W at its relaxed geometry.

abc: 4.3830 4.3830 4.3830
angles: 140.94 107.28 85.78
Closest atoms and distances in Å follow each position.
Fractional coordinates of all 6 atoms:
B 0.4004 0.7389 0.6615  3 B 1.68-1.74
B 0.9226 0.2611 0.6615  3 B 1.68-1.74
B 0.5996 0.2611 0.3385  3 B 1.68-1.74
B 0.0774 0.7389 0.3385  3 B 1.68-1.74
W 0.5000 0.5000 0.0000  12 B 2.33-2.38
Be 0.0000 0.0000 0.0000  12 B 2.28-2.43

Energy above the most stable polymorph in this dataset   0.0 meV/atom
VASP energy   -0.5365 Ry/atom

[9]
The following is a DFT calculation (PBE) of crystalline Hf2CdCu at its relaxed geometry.

abc: 4.7981 4.7981 4.7981
angles: 60.00 60.00 60.00
Closest atoms and distances in Å follow each position.
Fractional coordinates of all 4 atoms:
Cu 0.7500 0.7500 0.7500  4 Cd 2.94, 4 Hf 2.94
Hf 0.2500 0.2500 0.2500  4 Cd 2.94, 4 Hf 2.94
Hf 0.0000 0.0000 0.0000  4 Cu 2.94, 4 Hf 2.94
Cd 0.5000 0.5000 0.5000  4 Cu 2.94, 4 Hf 2.94

Energy relative to the elements   1.47 eV/f.u.
VASP energy   -0.4236 Ry/atom

[10]
The following is a DFT calculation (PBE) of crystalline TbOs at its relaxed geometry.

abc: 3.3784 3.3784 8.2423
angles: 90.00 90.00 120.00
Closest atoms and distances in Å follow each position.
Fractional coordinates of all 4 atoms:
Os 0.3333 0.6667 0.7500  6 Tb 2.84
Os 0.6667 0.3333 0.2500  6 Tb 2.84
Tb 0.0000 0.0000 0.0000  6 Os 2.84
Tb 0.0000 0.0000 0.5000  6 Os 2.84

Energy relative to the elements   0.87 eV/f.u.
VASP energy   -0.5506 Ry/atom

[11]
The following is a DFT calculation (PBE) of crystalline Ho2Ta at its relaxed geometry.

abc: 5.9603 5.9603 5.9603
angles: 60.00 60.00 60.00
Closest atoms and distances in Å follow each position.
Fractional coordinates of all 6 atoms:
Ta 0.0000 0.0000 0.0000  12 Ho 3.49, 4 Ta 3.65
Ta 0.2500 0.2500 0.2500  12 Ho 3.49, 4 Ta 3.65
Ho 0.6250 0.1250 0.6250  6 Ho 2.98
Ho 0.6250 0.6250 0.1250  6 Ho 2.98
Ho 0.1250 0.6250 0.6250  6 Ho 2.98
Ho 0.6250 0.6250 0.6250  6 Ho 2.98

Energy relative to the elements   2.92 eV/f.u.
Energy above the most stable polymorph in this dataset   60.1 meV/atom
VASP energy   -0.4432 Ry/atom

Computed values of magnetic moment (unit: μB per formula unit) for the preceding records, in sequence: 1.99; 0.14; 0.00; 0.00; 0.01; 0.01; 3.00; 0.00; 2.56; 0.00; 0.05.